Record 1
LiCu2Au4, relaxed, DFT GGA-PBE; excess energy over the best structure of this formula in the dataset = 0 meV per atom; magnetic moment = 0.0000 μB per atom; crystal system = orthorhombic; final energy = -48.69 eV for the cell shown
1.0
5.593 0.000 0.000
0.000 5.990 0.000
0.000 0.000 6.992
Li Cu Au
2 4 8
Direct
0.000 0.000 0.000
0.500 0.500 0.500
0.000 0.000 0.500
0.000 0.500 0.000
0.500 0.000 0.500
0.500 0.500 0.000
0.250 0.250 0.250
0.250 0.250 0.750
0.250 0.750 0.250
0.250 0.750 0.750
0.750 0.250 0.250
0.750 0.250 0.750
0.750 0.750 0.250
0.750 0.750 0.750



Record 2
HoCo4, relaxed, DFT GGA-PBE; excess energy over the best structure of this formula in the dataset = 1980 meV per atom; magnetic moment = 1.0816 μB per atom; crystal system = cubic; final energy = -23.51 eV for the cell shown
1.0
4.538 0.000 0.000
0.000 4.538 0.000
0.000 0.000 4.538
Ho Co
1 4
Direct
0.000 0.000 0.000
0.000 0.000 0.500
0.000 0.500 0.000
0.500 0.000 0.000
0.500 0.500 0.500



Record 3
Sr2NpInO8, relaxed, DFT GGA-PBE; raw formation energy = -2160 meV per atom; magnetic moment = 0.0053 μB per atom; crystal system = triclinic; final energy = -84.63 eV for the cell shown
1.0
4.594 0.000 0.000
0.074 5.460 0.000
1.217 0.268 7.080
Sr Np In O
2 1 1 8
Direct
0.088 0.018 0.232
0.912 0.982 0.768
0.500 0.500 0.000
0.500 0.500 0.500
0.228 0.316 0.888
0.229 0.468 0.302
0.334 0.811 0.930
0.378 0.912 0.494
0.622 0.088 0.506
0.666 0.189 0.070
0.771 0.532 0.698
0.772 0.684 0.112



Record 4
LaGeAu, relaxed, DFT GGA-PBE; magnetic moment = 0.0000 μB per atom; crystal system = triclinic; final energy = -29.50 eV for the cell shown
1.0
4.590 0.000 0.000
-2.294 5.291 0.000
-0.001 -0.672 6.492
La Ge Au
2 2 2
Direct
0.000 0.000 0.000
0.283 0.567 0.458
0.555 0.108 0.355
0.726 0.453 0.123
0.306 0.613 0.931
0.632 0.265 0.736